# Na4PuZr3S8

Na4PuZr3S8 after structural relaxation (PBE, Alexandria via LeMat-Bulk).

a b c (Å): 8.0675 8.0675 8.0675
angles (deg): 55.80 55.80 55.80
Positions (direct):
Na 0.0000 0.0000 0.0000
Na 0.0000 0.5000 0.5000
Na 0.5000 0.0000 0.5000
Na 0.5000 0.5000 0.0000
Pu 0.5000 0.5000 0.5000
Zr 0.0000 0.0000 0.5000
Zr 0.0000 0.5000 0.0000
Zr 0.5000 0.0000 0.0000
S 0.2296 0.7487 0.7487
S 0.2408 0.2408 0.2408
S 0.2513 0.2513 0.7704
S 0.2513 0.7704 0.2513
S 0.7487 0.2296 0.7487
S 0.7487 0.7487 0.2296
S 0.7592 0.7592 0.7592
S 0.7704 0.2513 0.2513

Values from the calculation:
V = 20.943 Å³/atom
Magnetization = 5.56 μB/cell
VASP energy = -6.388 eV per atom
Formation energy from raw total energies = -1496 meV per atom